# 1
## BeSnPd2 (GGA-PBE)

Data for crystalline BeSnPd2 at its relaxed geometry.

abc: 2.9333 2.9333 7.0744
angles: 90.00 90.00 90.00
With the nearest neighbours (Å) after each atom.
Positions (direct):
Be1 0.0000 0.0000 0.0000  8 Pd 2.49
Sn1 0.0000 0.0000 0.5000  4 Sn 2.93, 8 Pd 2.99
Pd1 0.5000 0.5000 0.1950  4 Be 2.49, 1 Pd 2.76
Pd2 0.5000 0.5000 0.8050  4 Be 2.49, 1 Pd 2.76

Output
Total DFT energy (no corrections) (eV per formula unit): -19.7
Energy above the lowest structure with this stoichiometry (eV/atom): 0.000
Symmetry: P4/mmm
Energy of formation from the pure elements (meV per atom): -386

***

# 2
## RbNa2HoCl6 (GGA-PBE)

Data for crystalline RbNa2HoCl6 at its relaxed geometry.

abc: 7.2495 7.2525 7.8284
angles: 62.41 62.43 60.03
With the nearest neighbours (Å) after each atom.
Positions (direct):
Rb1 0.0000 0.0000 0.0000  6 Cl 3.19-3.43
Na1 0.2027 0.2016 0.3925  6 Cl 2.77-2.96
Na2 0.7180 0.7182 0.8454  6 Cl 2.86-2.97
Ho1 0.5215 0.5216 0.4350  6 Cl 2.65-2.66
Cl1 0.1419 0.7704 0.6388  1 Ho 2.65, 2 Na 2.86-2.95
Cl2 0.3659 0.5464 0.1741  1 Ho 2.66, 2 Na 2.77-2.97
Cl3 0.4485 0.1418 0.6390  1 Ho 2.65, 2 Na 2.86-2.95
Cl4 0.5467 0.9129 0.1738  1 Ho 2.66, 2 Na 2.77-2.97
Cl5 0.7705 0.4486 0.6389  1 Ho 2.65, 2 Na 2.86-2.96
Cl6 0.9128 0.3662 0.1741  1 Ho 2.66, 2 Na 2.77-2.97

Output
Total DFT energy (no corrections) (eV per formula unit): -39.7
Symmetry: P1
Energy relative to the elements, uncorrected (eV/atom): -2.04